No. 1
## SrLiHf2 (meta-GGA SCAN)

Data for a crystal of SrLiHf2 relaxed with PBEsol.

Lattice parameters (Å, degrees): 4.1172 4.1172 23.7205 90.00 90.00 90.00
Last column: nearest neighbours and their distance in Å.
Space group I-42d (No. 122)
Unique sites:
1 Sr 0.0000 0.0000 0.0000 [4 per cell]  4 Li 2.91
2 Li 0.0000 0.0000 0.5000 [4 per cell]  4 Sr 2.91
3 Hf 0.2372 0.7500 0.6250 [8 per cell]  4 Hf 2.84-2.99

Properties
DOS at the Fermi energy = 17.0 states/eV per cell
Theoretical density = 7.46 g/cm³
Energy relative to the elements = 790 meV/atom
Total magnetization = 0.00 μB per formula unit

No. 2
## ScTaIn (meta-GGA SCAN)

Data for a crystal of ScTaIn relaxed with PBEsol.

Lattice parameters (Å, degrees): 6.5206 6.5206 6.5206 90.00 90.00 90.00
Last column: nearest neighbours and their distance in Å.
Space group F-43m (No. 216)
Unique sites:
1 Sc 0.0000 0.0000 0.0000 [4 per cell]  4 In 2.82
2 Ta 0.0000 0.0000 0.5000 [4 per cell]  4 In 2.82
3 In 0.2500 0.2500 0.2500 [4 per cell]  4 Ta 2.82, 4 Sc 2.82

Properties
DOS at the Fermi energy = 12.9 states/eV per cell
Theoretical density = 8.16 g/cm³
Energy relative to the elements = 543 meV/atom
Total magnetization = 0.00 μB per formula unit

No. 3
## K3Au (meta-GGA SCAN)

Data for a crystal of K3Au relaxed with PBEsol.

Lattice parameters (Å, degrees): 4.6357 4.6357 33.5699 90.00 90.00 120.00
Last column: nearest neighbours and their distance in Å.
Space group R-3m (No. 166, hexagonal axes)
Unique sites:
1 K 0.0000 0.0000 0.0000 [3 per cell]  12 K 4.63-4.64
2 K 0.0000 0.0000 0.2209 [6 per cell]  3 Au 3.24
3 Au 0.0000 0.0000 0.5000 [3 per cell]  6 K 3.24

Properties
DOS at the Fermi energy = 7.1 states/eV per cell
Theoretical density = 2.51 g/cm³
Energy relative to the elements = -176 meV/atom
Total magnetization = 0.00 μB per formula unit

No. 4
## LaMgRe (meta-GGA SCAN)

Data for a crystal of LaMgRe relaxed with PBEsol.

Lattice parameters (Å, degrees): 5.0443 5.0443 2.8435 90.00 90.00 120.00
Last column: nearest neighbours and their distance in Å.
Space group P3m1 (No. 156)
Unique sites:
1 La 0.0000 0.0000 0.0000 [1 per cell]  2 La 2.84, 3 Mg 3.18, 3 Re 3.18
2 Mg 0.6667 0.3333 0.4462 [1 per cell]  2 Mg 2.84, 3 Re 2.93, 3 La 3.18
3 Re 0.3333 0.6667 0.5532 [1 per cell]  2 Re 2.84, 3 Mg 2.93, 3 La 3.18

Properties
ΔE to the lowest computed polymorph = 22 meV per atom
DOS at the Fermi energy = 2.8 states/eV per cell
Theoretical density = 9.26 g/cm³
Energy relative to the elements = 527 meV/atom
Total magnetization = 0.00 μB per formula unit

No. 5
## LiSbI2N (meta-GGA SCAN)

Data for a crystal of LiSbI2N relaxed with PBEsol.

Lattice parameters (Å, degrees): 5.6281 5.6281 4.2000 90.00 90.00 90.00
Last column: nearest neighbours and their distance in Å.
Space group P4/mmm (No. 123)
Unique sites:
1 Li 0.0000 0.0000 0.0000 [1 per cell]  8 I 3.51
2 Sb 0.5000 0.5000 0.0000 [1 per cell]  2 N 2.10
3 I 0.0000 0.5000 0.5000 [2 per cell]  2 N 2.81
4 N 0.5000 0.5000 0.5000 [1 per cell]  2 Sb 2.10

Properties
ΔE to the lowest computed polymorph = 375 meV per atom
DOS at the Fermi energy = 1.9 states/eV per cell
Theoretical density = 4.95 g/cm³
Total magnetization = 0.00 μB per formula unit

No. 6
## TlCd3 (meta-GGA SCAN)

Data for a crystal of TlCd3 relaxed with PBEsol.

Lattice parameters (Å, degrees): 10.5850 3.1111 5.6755 90.00 102.78 90.00
Last column: nearest neighbours and their distance in Å.
Space group C2/m (No. 12)
Unique sites:
1 Tl 0.0000 0.0000 0.0000 [2 per cell]  2 Tl 3.11, 10 Cd 3.21-3.24
2 Cd 0.0000 0.5000 0.5000 [2 per cell]  8 Cd 3.04-3.31, 4 Tl 3.24
3 Cd 0.2414 0.0000 0.7378 [4 per cell]  9 Cd 3.04-3.33, 3 Tl 3.21-3.23

Properties
DOS at the Fermi energy = 2.5 states/eV per cell
Theoretical density = 9.87 g/cm³
Energy relative to the elements = 65 meV/atom
Total magnetization = 0.00 μB per formula unit

No. 7
## CaCd4Ag (meta-GGA SCAN)

Data for a crystal of CaCd4Ag relaxed with PBEsol.

Lattice parameters (Å, degrees): 8.0513 8.0513 8.0513 90.00 90.00 90.00
Last column: nearest neighbours and their distance in Å.
Space group F-43m (No. 216)
Unique sites:
1 Ca 0.0000 0.0000 0.0000 [4 per cell]  12 Cd 3.34, 4 Ag 3.49
2 Cd 0.1246 0.1246 0.6246 [16 per cell]  6 Cd 2.84-2.86
3 Ag 0.2500 0.2500 0.2500 [4 per cell]  12 Cd 3.34, 4 Ca 3.49

Properties
DOS at the Fermi energy = 12.2 states/eV per cell
Theoretical density = 7.61 g/cm³
Energy relative to the elements = -140 meV/atom
Total magnetization = 0.00 μB per formula unit

No. 8
## FeTc2As (meta-GGA SCAN)

Data for a crystal of FeTc2As relaxed with PBEsol.

Lattice parameters (Å, degrees): 3.9027 2.7576 9.6144 90.00 90.00 90.00
Last column: nearest neighbours and their distance in Å.
Space group Amm2 (No. 38)
Unique sites:
1 Fe 0.0000 0.0000 0.0000 [2 per cell]  2 As 2.28, 1 Tc 2.48
2 Tc 0.0000 0.0000 0.7415 [2 per cell]  3 Fe 2.48-2.70, 4 As 2.65, 6 Tc 2.74-2.76
3 Tc 0.5000 0.0000 0.3821 [2 per cell]  3 As 2.49-2.70, 4 Fe 2.64, 6 Tc 2.74-2.76
4 As 0.5000 0.0000 0.1233 [2 per cell]  2 Fe 2.28, 1 Tc 2.49

Properties
ΔE to the lowest computed polymorph = 212 meV per atom
DOS at the Fermi energy = 6.2 states/eV per cell
Theoretical density = 10.49 g/cm³
Energy relative to the elements = 122 meV/atom
Total magnetization = 0.00 μB per formula unit